Below is a relaxed structure of Rb2RuO3, with properties calculated at the PBE level.

- Raw total energy: -5.458 eV/atom
- Magnetization: 2.22 μB per formula unit
- N(E_F): 10.5 states/eV/cell
- Energy relative to the lowest polymorph listed for this composition: 16.1 meV/atom

Structure (extended XYZ):
```
24
Lattice="6.2175 2.8181 0.0605 -6.2175 2.8181 0.0605 0.0000 1.1765 13.7627" Properties=species:S:1:pos:R:3 pbc="T T T"
Rb 2.5292 1.9984 8.8957
Rb 2.5292 5.4025 11.8694
Rb -2.5292 4.8142 4.9880
Rb -2.5292 1.4101 2.0144
Rb -1.3764 5.4435 12.9249
Rb -1.3764 1.9573 7.8402
Rb 1.3764 1.3691 0.9588
Rb 1.3764 4.8553 6.0436
Ru 0.0447 2.6225 11.3175
Ru 0.0447 4.7784 9.4476
Ru -0.0447 4.1901 2.5663
Ru -0.0447 2.0342 4.4362
O -1.3741 3.7004 10.3825
O 1.3741 3.1122 3.5012
O 1.8328 2.5706 11.8481
O 1.8328 4.8303 8.9170
O -1.8328 4.2420 2.0357
O -1.8328 1.9824 4.9668
O 0.9340 2.0713 6.0264
O 0.9340 4.1531 0.9760
O -0.9340 4.7414 7.8573
O -0.9340 2.6595 12.9078
O 6.1845 3.7004 10.3825
O -6.1845 3.1122 3.5012
```

Below is a relaxed structure of ZrSbS3, with properties calculated at the PBE level.

- Raw total energy: -4.716 eV/atom
- Magnetization: 1.32 μB per formula unit
- N(E_F): 7.8 states/eV/cell
- Energy relative to the lowest polymorph listed for this composition: 1086.4 meV/atom

Structure (extended XYZ):
```
5
Lattice="4.9463 0.0000 0.0000 0.0000 4.9463 0.0000 0.0000 0.0000 4.9463" Properties=species:S:1:pos:R:3 pbc="T T T"
Sb 0.0000 0.0000 0.0000
S 0.0000 2.4732 0.0000
S 0.0000 0.0000 2.4732
S 2.4732 0.0000 0.0000
Zr 2.4732 2.4732 2.4732
```

Below is a relaxed structure of HPd4I5, with properties calculated at the PBE level.

- Raw total energy: -3.266 eV/atom
- Magnetization: 0.00 μB per formula unit
- N(E_F): 4.5 states/eV/cell

Structure (extended XYZ):
```
10
Lattice="-1.5685 -2.7230 -2.5447 2.7768 -5.9628 4.6691 -6.6833 1.6361 5.5814" Properties=species:S:1:pos:R:3 pbc="T T T"
H -0.7842 -1.3615 -1.2723
Pd -3.5501 -5.2899 7.8489
Pd -5.7059 -5.4892 6.1783
Pd -1.9249 -1.7598 -0.1431
Pd 0.2309 -1.5605 1.5275
I -3.6446 -5.2203 4.6199
I -6.1619 -1.9954 2.7207
I 0.6869 -5.0543 4.9851
I 0.6042 -4.3429 1.0622
I -1.8304 -1.8294 3.0859
```

Below is a relaxed structure of MnReSi, with properties calculated at the PBE level.

- Raw total energy: -9.214 eV/atom
- Magnetization: 0.00 μB per formula unit
- N(E_F): 1.8 states/eV/cell

Structure (extended XYZ):
```
3
Lattice="3.9160 0.0000 0.0000 1.9580 3.3913 0.0000 1.9580 1.1304 3.1974" Properties=species:S:1:pos:R:3 pbc="T T T"
Mn 5.8740 3.3913 2.3980
Re 0.0000 0.0000 0.0000
Si 3.9160 2.2609 1.5987
```

Below is a relaxed structure of TaAlOs2, with properties calculated at the PBE level.

- Raw total energy: -9.610 eV/atom
- Formation energy from the elements: -0.10 eV/atom
- Magnetization: 0.00 μB per formula unit
- N(E_F): 3.1 states/eV/cell
- Energy relative to the lowest polymorph listed for this composition: 453.1 meV/atom

Structure (extended XYZ):
```
4
Lattice="-6.8121 2.5660 5.0529 -7.3022 -0.2374 5.0142 -5.4837 0.8634 6.9069" Properties=species:S:1:pos:R:3 pbc="T T T"
Os -0.0577 0.0094 0.0500
Os -9.7413 1.5866 8.4370
Al -14.6985 2.3940 12.7305
Ta -4.8995 0.7980 4.2435
```

Below is a relaxed structure of Pr8TlTe4Se3, with properties calculated at the PBE level.

- Raw total energy: -5.455 eV/atom
- Magnetization: 0.00 μB per formula unit
- N(E_F): 8.2 states/eV/cell

Structure (extended XYZ):
```
16
Lattice="8.8239 0.0000 0.0000 0.0000 8.9558 0.0870 -4.4119 -4.4076 6.2421" Properties=species:S:1:pos:R:3 pbc="T T T"
Pr -2.1601 2.2123 6.2094
Pr 0.0000 4.3605 3.1441
Pr 0.0000 0.2074 3.2733
Pr 2.1601 2.2123 6.2094
Pr 2.2519 2.3359 0.1197
Pr 4.4119 4.3409 3.0558
Pr 4.4119 0.1877 3.1850
Pr 6.5720 2.3359 0.1197
Tl 0.0000 4.4779 0.0435
Te 4.4119 0.0000 0.0000
Te 2.2060 -2.2038 3.1210
Te 0.0000 0.0000 0.0000
Te -2.2060 -2.2038 3.1210
Se 4.4119 4.4779 0.0435
Se 2.2060 2.2741 3.1646
Se -2.2060 2.2741 3.1646
```

Below is a relaxed structure of GaBiSb2Mo, with properties calculated at the PBE level.

- Raw total energy: -4.667 eV/atom
- Magnetization: 0.00 μB per formula unit
- N(E_F): 3.8 states/eV/cell

Structure (extended XYZ):
```
5
Lattice="-0.3960 -0.9790 5.1397 4.5260 -3.0899 -0.2398 2.9380 4.2234 1.0308" Properties=species:S:1:pos:R:3 pbc="T T T"
Sb 1.4690 2.1117 0.5154
Sb -0.1980 -0.4895 2.5698
Mo 0.0000 0.0000 0.0000
Bi 2.2630 -1.5449 -0.1199
Ga 3.5340 0.0773 2.9653
```

Below is a relaxed structure of PmHfS, with properties calculated at the PBE level.

- Raw total energy: -6.961 eV/atom
- Magnetization: 0.00 μB per formula unit
- N(E_F): 5.1 states/eV/cell

Structure (extended XYZ):
```
6
Lattice="5.1421 0.0000 0.0000 0.0000 3.4659 0.0000 -2.5710 -1.7330 7.9362" Properties=species:S:1:pos:R:3 pbc="T T T"
Pm 2.5710 0.0000 2.7094
Pm 0.0000 1.7330 5.2268
Hf 3.8616 1.7330 0.0000
Hf 1.2805 1.7330 0.0000
S 0.0000 1.7330 2.4115
S 2.5710 0.0000 5.5247
```

Below is a relaxed structure of ErAg2, with properties calculated at the PBE level.

- Raw total energy: -3.746 eV/atom
- Formation energy from the elements: -0.32 eV/atom
- Magnetization: 0.00 μB per formula unit
- N(E_F): 1.4 states/eV/cell

Structure (extended XYZ):
```
3
Lattice="5.3119 0.0229 0.0000 2.7010 4.5739 0.0000 -4.0064 -2.2984 2.6234" Properties=species:S:1:pos:R:3 pbc="T T T"
Ag 2.6511 1.5209 0.0000
Ag 5.3618 3.0759 0.0000
Er 0.0000 0.0000 0.0000
```

Below is a relaxed structure of Ca2H6Se, with properties calculated at the PBE level.

- Raw total energy: -3.053 eV/atom
- Magnetization: 0.00 μB per formula unit
- N(E_F): 0.7 states/eV/cell

Structure (extended XYZ):
```
9
Lattice="-3.9541 3.2140 0.4063 -3.9301 -0.3594 -3.2489 -4.5270 -1.7124 1.6443" Properties=species:S:1:pos:R:3 pbc="T T T"
Ca -9.3084 0.8566 -0.8987
Ca -3.1028 0.2855 -0.2996
H -6.8061 -0.1338 -0.8673
H -6.6533 1.1801 -1.1974
H -6.8125 0.8192 0.1076
H -5.6051 1.2760 -0.3310
H -5.7579 -0.0379 -0.0008
H -5.5987 0.3229 -1.3058
Se 0.0000 0.0000 0.0000
```